An optimized crystal structure of Sn3Pb2. Source: the Alexandria database, functional PBE-GGA.

Cell and atoms, written as POSCAR:
```
Sn3Pb2
1.0
-2.9838 -1.5085 0.5058
1.6431 -4.1770 -2.7645
3.5802 -0.5928 8.0497
Sn Pb
3 2
Direct
0.1962 0.1962 0.3924 Sn
0.8038 0.8038 0.6076 Sn
0.0000 0.0000 0.0000 Sn
0.3957 0.3957 0.7915 Pb
0.6043 0.6043 0.2085 Pb
```

=====

An optimized crystal structure of SnPb6. Source: the Alexandria database, functional PBE-GGA.

Cell and atoms, written as POSCAR:
```
SnPb6
1.0
-1.7548 -4.2553 -4.5967
3.4541 -4.6395 2.9763
-8.7549 -2.7443 5.8825
Sn Pb
2 12
Direct
0.5000 0.0000 0.0000 Sn
0.0000 0.5000 0.0000 Sn
0.5000 0.5000 0.1429 Pb
0.0000 0.0000 0.1429 Pb
0.0000 0.0000 0.8571 Pb
0.5000 0.5000 0.8571 Pb
0.8184 0.6816 0.3610 Pb
0.3184 0.8184 0.3610 Pb
0.6816 0.1816 0.3610 Pb
0.1816 0.3184 0.3610 Pb
0.6816 0.8184 0.6390 Pb
0.1816 0.6816 0.6390 Pb
0.8184 0.3184 0.6390 Pb
0.3184 0.1816 0.6390 Pb
```

=====

An optimized crystal structure of Sn5Pb3. Source: the Alexandria database, functional PBE-GGA.

Cell and atoms, written as POSCAR:
```
Sn5Pb3
1.0
-0.2753 2.0452 5.5140
1.5096 -5.3105 2.0451
6.5555 1.7409 -0.3184
Sn Pb
5 3
Direct
0.0000 0.0000 0.0000 Sn
0.0000 0.5000 0.2390 Sn
0.0000 0.0000 0.5000 Sn
0.0000 0.5000 0.7610 Sn
0.5000 0.5000 0.0000 Sn
0.5000 0.0000 0.2442 Pb
0.5000 0.5000 0.5000 Pb
0.5000 0.0000 0.7558 Pb
```

=====

An optimized crystal structure of SnPb2. Source: the Alexandria database, functional PBE-GGA.

Cell and atoms, written as POSCAR:
```
SnPb2
1.0
5.3305 0.0000 0.0000
0.0000 5.3305 0.0000
-2.6652 -2.6653 3.6999
Sn Pb
1 2
Direct
0.0000 0.0000 0.0000 Sn
0.7501 0.2500 0.5000 Pb
0.2499 0.7500 0.5000 Pb
```

=====

An optimized crystal structure of SnPb2. Source: the Alexandria database, functional PBE-GGA.

Cell and atoms, written as POSCAR:
```
SnPb2
1.0
6.4887 0.0000 0.0000
3.2443 5.6193 0.0000
3.2443 1.8731 5.2980
Pb Sn
4 2
Direct
0.1250 0.6250 0.6250 Pb
0.6250 0.1250 0.6250 Pb
0.6250 0.6250 0.6250 Pb
0.6250 0.6250 0.1250 Pb
0.0000 0.0000 0.0000 Sn
0.2500 0.2500 0.2500 Sn
```

=====

An optimized crystal structure of Sn4Pb. Source: the Alexandria database, functional PBE-GGA.

Cell and atoms, written as POSCAR:
```
Sn4Pb
1.0
-5.1324 0.1560 -5.1303
1.6330 -6.7770 -1.8397
-4.4288 0.6624 4.4508
Sn Pb
8 2
Direct
0.3976 0.2259 0.1139 Sn
0.8976 0.7741 0.3861 Sn
0.6024 0.7741 0.8861 Sn
0.1024 0.2259 0.6139 Sn
0.7507 0.3799 0.4400 Sn
0.2507 0.6201 0.0600 Sn
0.2493 0.6201 0.5600 Sn
0.7493 0.3799 0.9400 Sn
0.0000 0.0000 0.0000 Pb
0.5000 0.0000 0.5000 Pb
```

=====

An optimized crystal structure of Sn3Pb2. Source: the Alexandria database, functional PBE-GGA.

Cell and atoms, written as POSCAR:
```
Sn3Pb2
1.0
8.0622 0.0000 0.0000
4.0311 6.9821 0.0000
4.0311 2.3274 5.7725
Pb Sn
4 6
Direct
0.9054 0.9054 0.2838 Pb
0.4054 0.4054 0.7838 Pb
0.0946 0.0946 0.7162 Pb
0.5946 0.5946 0.2162 Pb
0.9831 0.7500 0.7500 Sn
0.7500 0.5169 0.7500 Sn
0.5169 0.9831 0.7500 Sn
0.2500 0.4831 0.2500 Sn
0.4831 0.0169 0.2500 Sn
0.0169 0.2500 0.2500 Sn
```

=====

An optimized crystal structure of Sn5Pb3. Source: the Alexandria database, functional PBE-GGA.

Cell and atoms, written as POSCAR:
```
Sn5Pb3
1.0
-0.7280 -4.5313 0.8278
7.0089 -1.0897 0.1994
0.2999 1.2274 6.9825
Sn Pb
5 3
Direct
0.0000 0.0000 0.0000 Sn
0.0000 0.5000 0.0000 Sn
0.0000 0.0000 0.5000 Sn
0.5000 0.7549 0.7549 Sn
0.5000 0.2451 0.2451 Sn
0.0000 0.5000 0.5000 Pb
0.5000 0.7545 0.2455 Pb
0.5000 0.2455 0.7545 Pb
```

=====

no.,ΔE to the lowest computed polymorph (meV per atom)
1,0
2,80
3,13
4,33
5,164
6,0
7,112
8,0